DFT (PBE-GGA) results for a relaxed structure of RbNa2ReBr8.

The structure in CIF format:
```
data_RbNa2ReBr8
_chemical_formula_sum 'Rb1 Na2 Re1 Br8'
_symmetry_space_group_name_H-M 'P 1'
_symmetry_Int_Tables_number 1
_cell_length_a 6.343
_cell_length_b 6.729
_cell_length_c 9.650
_cell_angle_alpha 90.04
_cell_angle_beta 90.19
_cell_angle_gamma 94.23
loop_
_symmetry_equiv_pos_as_xyz
'x,y,z'
loop_
_atom_site_label
_atom_site_type_symbol
_atom_site_fract_x
_atom_site_fract_y
_atom_site_fract_z
Rb1 Rb 0.000 0.000 0.000
Na1 Na 0.499 0.500 0.736
Na2 Na 0.501 0.500 0.264
Re1 Re 0.000 0.000 0.500
Br1 Br 0.227 0.864 0.314
Br2 Br 0.229 0.866 0.687
Br3 Br 0.230 0.325 0.499
Br4 Br 0.249 0.491 0.000
Br5 Br 0.751 0.509 0.000
Br6 Br 0.770 0.675 0.501
Br7 Br 0.771 0.134 0.313
Br8 Br 0.773 0.136 0.686
```

Values from the calculation:
The symmetry is P-1. The value obtained for the uncorrected formation energy is -0.873 eV per atom. The density of states at the Fermi level comes out at 4.6 states/eV/f.u.

=====

DFT (PBE-GGA) results for a relaxed structure of LiDy3Ga8.

The structure in CIF format:
```
data_LiDy3Ga8
_chemical_formula_sum 'Li1 Dy3 Ga8'
_symmetry_space_group_name_H-M 'P 1'
_symmetry_Int_Tables_number 1
_cell_length_a 9.508
_cell_length_b 9.508
_cell_length_c 9.508
_cell_angle_alpha 33.44
_cell_angle_beta 33.44
_cell_angle_gamma 33.44
loop_
_symmetry_equiv_pos_as_xyz
'x,y,z'
loop_
_atom_site_label
_atom_site_type_symbol
_atom_site_fract_x
_atom_site_fract_y
_atom_site_fract_z
Li1 Li 0.000 0.000 0.000
Dy1 Dy 0.122 0.122 0.122
Dy2 Dy 0.502 0.502 0.502
Dy3 Dy 0.630 0.630 0.630
Ga1 Ga 0.065 0.065 0.564
Ga2 Ga 0.065 0.564 0.065
Ga3 Ga 0.066 0.564 0.564
Ga4 Ga 0.315 0.315 0.315
Ga5 Ga 0.564 0.065 0.065
Ga6 Ga 0.564 0.066 0.564
Ga7 Ga 0.564 0.564 0.066
Ga8 Ga 0.814 0.814 0.814
```

Values from the calculation:
The symmetry is R3m. As for the energy relative to the elements: -44.60 kJ per mole of atoms. The density of states at the Fermi level comes out at 5.5 states/eV/f.u.

=====

| no. | M_tot (μB/f.u.) |
| --- | --- |
| 1 | 3.139 |
| 2 | 0.000 |